# 1
The following is a DFT calculation (PBE) of a relaxed structure of Pu2MgGeAu6.

The calculation puts the calculated volume at 21.4 A^3/atom. The calculation puts the formation energy at -0.2739 eV/atom. The value obtained for the total magnetic moment is 11.79 μB/cell.

The structure belongs to space group P-1 (No. 2); the cell edges are 5.506, 6.795 and 6.971 Å and the angles 91.28°, 113.24° and 113.81°. Symmetry generates all atoms from Pu at (0.222, 0.230, 0.215), Mg at (0.000, 0.500, 0.500), Ge at (0.500, 0.000, 0.000), Au at (0.183, 0.193, 0.667), Au at (0.250, 0.574, 0.924) and Au at (0.322, 0.806, 0.332).

---

# 2
The following is a DFT calculation (PBE) of a relaxed structure of RuPt2Se.

The calculation puts the calculated volume at 15.9 A^3/atom. Its total energy is -5.864 eV per atom. The value obtained for the total magnetic moment is 3.89 μB/cell.

The structure belongs to space group F-43m (No. 216); the cell edges are 6.337, 6.337 and 6.337 Å and the angles 90.00°, 90.00° and 90.00°. Symmetry generates all atoms from Ru at (0.000, 0.000, 0.000), Pt at (0.000, 0.000, 0.500), Pt at (0.250, 0.250, 0.750) and Se at (0.250, 0.250, 0.250).

---

# 3
The following is a DFT calculation (PBE) of a relaxed structure of CsCa2Pd.

The calculation puts the calculated volume at 47.3 A^3/atom. The calculation puts the formation energy at -0.1955 eV/atom. The value obtained for the total magnetic moment is 0.00 μB/cell.

The structure belongs to space group R-3m (No. 166, hexagonal axes); the cell edges are 4.3485, 4.3485 and 34.6417 Å and the angles 90.00°, 90.00° and 120.00°. Symmetry generates all atoms from Cs at (0.0000, 0.0000, 0.0000), Ca at (0.0000, 0.0000, 0.1246) and Pd at (0.0000, 0.0000, 0.5000).

---

# 4
The following is a DFT calculation (PBE) of a relaxed structure of TiAl2RuBr.

The calculation puts the calculated volume at 21.9 A^3/atom. Its total energy is -5.278 eV per atom. The value obtained for the total magnetic moment is 0.00 μB/cell.

The structure belongs to space group P4/mmm (No. 123); the cell edges are 4.835, 4.835 and 4.692 Å and the angles 90.00°, 90.00° and 90.00°. Symmetry generates all atoms from Ti at (0.000, 0.000, 0.000), Al at (0.000, 0.500, 0.500), Ru at (0.000, 0.000, 0.500) and Br at (0.500, 0.500, 0.000).

---

# 5
The following is a DFT calculation (PBE) of a relaxed structure of Mg5W.

The calculation puts the calculated volume at 20.0 A^3/atom. The calculation puts the formation energy at 0.2767 eV/atom. The value obtained for the total magnetic moment is 0.00 μB/cell.

The structure belongs to space group Cm (No. 8); the cell edges are 11.304, 2.937 and 7.466 Å and the angles 90.00°, 104.49° and 90.00°. Symmetry generates all atoms from Mg at (0.000, 0.000, 0.000), Mg at (0.063, 0.000, 0.589), Mg at (0.220, 0.500, 0.955), Mg at (0.322, 0.000, 0.640), Mg at (0.385, 0.000, 0.279) and W at (0.160, 0.500, 0.314).

---

# 6
The following is a DFT calculation (PBE) of a relaxed structure of Co17Pt2.

The calculation puts the calculated volume at 11.9 A^3/atom. The calculation puts the formation energy at 0.1312 eV/atom. The value obtained for the total magnetic moment is 88.81 μB/cell.

The structure belongs to space group R-3m (No. 166, hexagonal axes); the cell edges are 8.0468, 8.0468 and 12.0942 Å and the angles 90.00°, 90.00° and 120.00°. Symmetry generates all atoms from Co at (0.0000, 0.0000, 0.0974), Co at (0.0000, 0.2970, 0.0000), Co at (0.0000, 0.5000, 0.5000), Co at (0.0067, 0.5033, 0.1469) and Pt at (0.0000, 0.0000, 0.3257).

---

# 7
The following is a DFT calculation (PBE) of a relaxed structure of TbCeI5.

The calculation puts the calculated volume at 42.6 A^3/atom. Its total energy is -3.943 eV per atom. The value obtained for the total magnetic moment is 4.02 μB/cell.

The structure belongs to space group P2_1/m (No. 11); the cell edges are 9.345, 4.282 and 14.934 Å and the angles 90.00°, 94.50° and 90.00°. Symmetry generates all atoms from Tb at (0.087, 0.250, 0.156), Ce at (0.401, 0.750, 0.351), I at (0.129, 0.250, 0.793), I at (0.145, 0.250, 0.368), I at (0.176, 0.750, 0.018), I at (0.356, 0.750, 0.572) and I at (0.427, 0.250, 0.189).

---

# 8
The following is a DFT calculation (PBE) of a relaxed structure of LiPuBiO4.

The calculation puts the calculated volume at 14.1 A^3/atom. Its total energy is -7.815 eV per atom. The value obtained for the total magnetic moment is 16.00 μB/cell.

The structure belongs to space group Imma (No. 74); the cell edges are 7.169, 7.464 and 7.393 Å and the angles 90.00°, 90.00° and 90.00°. Symmetry generates all atoms from Li at (0.000, 0.000, 0.000), Pu at (0.250, 0.250, 0.250), Bi at (0.000, 0.250, 0.697), O at (0.000, 0.065, 0.264) and O at (0.196, 0.250, 0.955).

---

# 9
The following is a DFT calculation (PBE) of a relaxed structure of La5Pr2GaCu2.

The calculation puts the calculated volume at 30.4 A^3/atom. The calculation puts the formation energy at -0.1929 eV/atom. The value obtained for the total magnetic moment is 0.00 μB/cell.

The structure belongs to space group P4/mbm (No. 127); the cell edges are 12.517, 12.517 and 3.875 Å and the angles 90.00°, 90.00° and 90.00°. Symmetry generates all atoms from La at (0.000, 0.500, 0.000), La at (0.059, 0.199, 0.000), Pr at (0.179, 0.679, 0.500), Ga at (0.000, 0.000, 0.500) and Cu at (0.128, 0.372, 0.500).

---

# 10
The following is a DFT calculation (PBE) of a relaxed structure of Ag3GeO3.

The calculation puts the calculated volume at 16.2 A^3/atom. Its total energy is -4.489 eV per atom. The value obtained for the total magnetic moment is 0.00 μB/cell.

The structure belongs to space group Cmcm (No. 63); the cell edges are 7.162, 12.389 and 5.124 Å and the angles 90.00°, 90.00° and 90.00°. Symmetry generates all atoms from Ag at (0.000, 0.200, 0.250), Ag at (0.199, 0.400, 0.250), Ge at (0.000, 0.333, 0.750), O at (0.000, 0.191, 0.750) and O at (0.212, 0.404, 0.750).

---

# 11
The following is a DFT calculation (PBE) of a relaxed structure of NaTePbN2.

The calculation puts the calculated volume at 28.3 A^3/atom. Its total energy is -3.406 eV per atom. The value obtained for the total magnetic moment is 5.00 μB/cell.

The structure belongs to space group P4/mmm (No. 123); the cell edges are 4.740, 4.740 and 6.300 Å and the angles 90.00°, 90.00° and 90.00°. Symmetry generates all atoms from Na at (0.000, 0.000, 0.000), Te at (0.000, 0.000, 0.500), Pb at (0.500, 0.500, 0.500) and N at (0.000, 0.500, 0.000).

---

# 12
The following is a DFT calculation (PBE) of a relaxed structure of LiLa3In.

The calculation puts the calculated volume at 31.0 A^3/atom. The calculation puts the formation energy at 0.1991 eV/atom. The value obtained for the total magnetic moment is 0.00 μB/cell.

The structure belongs to space group Pm-3m (No. 221); the cell edges are 5.374, 5.374 and 5.374 Å and the angles 90.00°, 90.00° and 90.00°. Symmetry generates all atoms from Li at (0.000, 0.000, 0.000), La at (0.000, 0.000, 0.500) and In at (0.500, 0.500, 0.500).